1:
The following is a PBE calculation of a relaxed Pr3Ag2 crystal, from Alexandria.

Unit cell a=3.755 b=3.755 c=20.514 alpha=90.00 beta=90.00 gamma=90.00
Sites, in units of the cell vectors:
Pr (0.000, 0.000, 0.000)
Pr (0.000, 0.000, 0.188)
Pr (0.000, 0.000, 0.374)
Pr (0.000, 0.000, 0.626)
Pr (0.000, 0.000, 0.812)
Pr (0.500, 0.500, 0.500)
Ag (0.500, 0.500, 0.094)
Ag (0.500, 0.500, 0.281)
Ag (0.500, 0.500, 0.719)
Ag (0.500, 0.500, 0.906)

Output
Volume = 289 Å³/cell
Size of the total moment = 0.000 Bohr magnetons per cell
Symmetry = P4/mmm, No. 123


2:
The following is a PBE calculation of a relaxed Pr3Ag2 crystal, from Alexandria.

Unit cell a=8.476 b=8.476 c=10.442 alpha=92.79 beta=92.79 gamma=35.90
Sites, in units of the cell vectors:
Pr (0.000, 0.000, 0.000)
Pr (0.010, 0.010, 0.329)
Pr (0.247, 0.247, 0.731)
Pr (0.347, 0.347, 0.063)
Pr (0.391, 0.391, 0.440)
Pr (0.609, 0.609, 0.560)
Pr (0.653, 0.653, 0.937)
Pr (0.753, 0.753, 0.269)
Pr (0.990, 0.990, 0.671)
Ag (0.167, 0.167, 0.149)
Ag (0.198, 0.198, 0.442)
Ag (0.450, 0.450, 0.812)
Ag (0.550, 0.550, 0.188)
Ag (0.802, 0.802, 0.558)
Ag (0.833, 0.833, 0.851)

Output
Volume = 439 Å³/cell
Size of the total moment = 0.000 Bohr magnetons per cell
Symmetry = C2/m, No. 12


Result of the stability comparison: 2 is the least stable of them.


1:
The following is a PBE calculation of a relaxed Pr5Ag crystal, from Alexandria.

Unit cell a=8.170 b=8.170 c=5.082 alpha=90.00 beta=90.00 gamma=144.56
Sites, in units of the cell vectors:
Pr (0.000, 0.000, 0.000)
Pr (0.163, 0.837, 0.500)
Pr (0.333, 0.667, 0.000)
Pr (0.667, 0.333, 0.000)
Pr (0.837, 0.163, 0.500)
Ag (0.500, 0.500, 0.500)

Output
Volume = 197 Å³/cell
Size of the total moment = 0.000 Bohr magnetons per cell
Symmetry = Cmmm, No. 65


2:
The following is a PBE calculation of a relaxed Pr5Ag crystal, from Alexandria.

Unit cell a=8.519 b=8.519 c=8.519 alpha=123.84 beta=123.84 gamma=83.46
Sites, in units of the cell vectors:
Pr (0.000, 0.000, 0.000)
Pr (0.014, 0.514, 0.809)
Pr (0.205, 0.014, 0.500)
Pr (0.295, 0.795, 0.809)
Pr (0.486, 0.295, 0.500)
Pr (0.500, 0.500, 0.000)
Pr (0.514, 0.705, 0.500)
Pr (0.705, 0.205, 0.191)
Pr (0.795, 0.986, 0.500)
Pr (0.986, 0.486, 0.191)
Ag (0.250, 0.250, 0.000)
Ag (0.750, 0.750, 0.000)

Output
Volume = 409 Å³/cell
Size of the total moment = 0.000 Bohr magnetons per cell
Symmetry = I4/mcm, No. 140


3:
The following is a PBE calculation of a relaxed Pr5Ag crystal, from Alexandria.

Unit cell a=6.628 b=6.628 c=8.872 alpha=110.58 beta=110.58 gamma=33.47
Sites, in units of the cell vectors:
Pr (0.000, 0.000, 0.000)
Pr (0.023, 0.023, 0.445)
Pr (0.358, 0.358, 0.643)
Pr (0.688, 0.688, 0.835)
Pr (0.713, 0.713, 0.285)
Ag (0.354, 0.354, 0.139)

Output
Volume = 200 Å³/cell
Size of the total moment = 0.000 Bohr magnetons per cell
Symmetry = Cm, No. 8


Result of the stability comparison: 2 is the least stable of them.


1:
The following is a PBE calculation of a relaxed Pr4Ag crystal, from Alexandria.

Unit cell a=5.805 b=5.805 c=5.805 alpha=90.00 beta=90.00 gamma=90.00
Sites, in units of the cell vectors:
Pr (0.000, 0.000, 0.000)
Pr (0.000, 0.500, 0.500)
Pr (0.500, 0.000, 0.500)
Pr (0.500, 0.500, 0.000)
Ag (0.500, 0.500, 0.500)

Output
Volume = 196 Å³/cell
Size of the total moment = 0.000 Bohr magnetons per cell
Symmetry = Pm-3m, No. 221


2:
The following is a PBE calculation of a relaxed Pr4Ag crystal, from Alexandria.

Unit cell a=8.427 b=7.150 c=9.994 alpha=55.97 beta=44.68 gamma=79.35
Sites, in units of the cell vectors:
Pr (0.039, 0.961, 0.177)
Pr (0.040, 0.511, 0.850)
Pr (0.073, 0.427, 0.211)
Pr (0.400, 0.651, 0.210)
Pr (0.427, 0.073, 0.289)
Pr (0.511, 0.040, 0.599)
Pr (0.651, 0.400, 0.739)
Pr (0.961, 0.039, 0.823)
Ag (0.591, 0.591, 0.409)
Ag (0.841, 0.841, 0.659)

Output
Volume = 327 Å³/cell
Size of the total moment = 0.000 Bohr magnetons per cell
Symmetry = Fdd2, No. 43


Result of the stability comparison: 1 is the least stable of them.


1:
The following is a PBE calculation of a relaxed Pr4AgPt crystal, from Alexandria.

Unit cell a=10.007 b=10.007 c=10.007 alpha=60.00 beta=60.00 gamma=60.00
Sites, in units of the cell vectors:
Pr (0.059, 0.059, 0.441)
Pr (0.059, 0.441, 0.059)
Pr (0.059, 0.441, 0.441)
Pr (0.186, 0.186, 0.814)
Pr (0.186, 0.814, 0.186)
Pr (0.186, 0.814, 0.814)
Pr (0.187, 0.604, 0.604)
Pr (0.441, 0.059, 0.059)
Pr (0.441, 0.059, 0.441)
Pr (0.441, 0.441, 0.059)
Pr (0.604, 0.187, 0.604)
Pr (0.604, 0.604, 0.187)
Pr (0.604, 0.604, 0.604)
Pr (0.814, 0.186, 0.186)
Pr (0.814, 0.186, 0.814)
Pr (0.814, 0.814, 0.186)
Ag (0.503, 0.832, 0.832)
Ag (0.832, 0.503, 0.832)
Ag (0.832, 0.832, 0.503)
Ag (0.832, 0.832, 0.832)
Pt (0.394, 0.394, 0.394)
Pt (0.394, 0.394, 0.818)
Pt (0.394, 0.818, 0.394)
Pt (0.818, 0.394, 0.394)

Output
Volume = 709 Å³/cell
Size of the total moment = 0.000 Bohr magnetons per cell
Symmetry = F-43m, No. 216


2:
The following is a PBE calculation of a relaxed Pr4AgPt crystal, from Alexandria.

Unit cell a=8.287 b=8.287 c=8.287 alpha=107.24 beta=107.24 gamma=114.03
Sites, in units of the cell vectors:
Pr (0.195, 0.000, 0.195)
Pr (0.222, 0.521, 0.299)
Pr (0.222, 0.924, 0.701)
Pr (0.271, 0.472, 0.799)
Pr (0.674, 0.472, 0.201)
Pr (0.750, 0.055, 0.305)
Pr (0.750, 0.445, 0.695)
Pr (0.805, 0.000, 0.805)
Ag (0.486, 0.986, 0.500)
Ag (0.736, 0.736, 0.000)
Pt (0.237, 0.237, 0.000)
Pt (0.987, 0.487, 0.500)

Output
Volume = 436 Å³/cell
Size of the total moment = 0.002 Bohr magnetons per cell
Symmetry = I4_1md, No. 109


Result of the stability comparison: 2 is the least stable of them.


1:
The following is a PBE calculation of a relaxed PrAgPt crystal, from Alexandria.

Unit cell a=4.187 b=4.187 c=7.774 alpha=90.00 beta=90.00 gamma=90.00
Sites, in units of the cell vectors:
Pr (0.250, 0.250, 0.165)
Pr (0.750, 0.750, 0.835)
Ag (0.250, 0.750, 0.500)
Ag (0.750, 0.250, 0.500)
Pt (0.250, 0.250, 0.771)
Pt (0.750, 0.750, 0.229)

Output
Volume = 136 Å³/cell
Size of the total moment = 0.000 Bohr magnetons per cell
Symmetry = P4/nmm, No. 129


2:
The following is a PBE calculation of a relaxed PrAgPt crystal, from Alexandria.

Unit cell a=4.464 b=3.759 c=8.589 alpha=90.00 beta=90.00 gamma=90.00
Sites, in units of the cell vectors:
Pr (0.250, 0.000, 0.208)
Pr (0.750, 0.000, 0.792)
Ag (0.250, 0.500, 0.589)
Ag (0.750, 0.500, 0.411)
Pt (0.250, 0.500, 0.906)
Pt (0.750, 0.500, 0.094)

Output
Volume = 144 Å³/cell
Size of the total moment = 0.000 Bohr magnetons per cell
Symmetry = Pmma, No. 51


3:
The following is a PBE calculation of a relaxed PrAgPt crystal, from Alexandria.

Unit cell a=4.789 b=4.789 c=4.789 alpha=60.00 beta=60.00 gamma=60.00
Sites, in units of the cell vectors:
Pr (0.000, 0.000, 0.000)
Ag (0.500, 0.500, 0.500)
Pt (0.750, 0.750, 0.750)

Output
Volume = 78 Å³/cell
Size of the total moment = 0.000 Bohr magnetons per cell
Symmetry = F-43m, No. 216


4:
The following is a PBE calculation of a relaxed PrAgPt crystal, from Alexandria.

Unit cell a=4.668 b=4.668 c=3.692 alpha=90.00 beta=90.00 gamma=120.00
Sites, in units of the cell vectors:
Pr (0.000, 0.000, 0.000)
Ag (0.667, 0.333, 0.499)
Pt (0.333, 0.667, 0.502)

Output
Volume = 70 Å³/cell
Size of the total moment = 0.000 Bohr magnetons per cell
Symmetry = P3m1, No. 156


Result of the stability comparison: 3 is the least stable of them.


1:
The following is a PBE calculation of a relaxed Pr3Ag2Pt crystal, from Alexandria.

Unit cell a=5.262 b=5.262 c=6.468 alpha=90.00 beta=90.00 gamma=120.00
Sites, in units of the cell vectors:
Pr (0.000, 0.000, 0.000)
Pr (0.333, 0.667, 0.644)
Pr (0.667, 0.333, 0.356)
Ag (0.333, 0.667, 0.134)
Ag (0.667, 0.333, 0.866)
Pt (0.000, 0.000, 0.500)

Output
Volume = 155 Å³/cell
Size of the total moment = 0.000 Bohr magnetons per cell
Symmetry = P-3m1, No. 164


2:
The following is a PBE calculation of a relaxed Pr3Ag2Pt crystal, from Alexandria.

Unit cell a=7.876 b=7.876 c=8.300 alpha=105.32 beta=105.32 gamma=45.72
Sites, in units of the cell vectors:
Pr (0.001, 0.999, 0.750)
Pr (0.353, 0.354, 0.926)
Pr (0.354, 0.353, 0.426)
Pr (0.646, 0.647, 0.574)
Pr (0.647, 0.646, 0.074)
Pr (0.999, 0.001, 0.250)
Ag (0.176, 0.178, 0.588)
Ag (0.178, 0.176, 0.088)
Ag (0.822, 0.824, 0.912)
Ag (0.824, 0.822, 0.412)
Pt (0.499, 0.501, 0.250)
Pt (0.501, 0.499, 0.750)

Output
Volume = 353 Å³/cell
Size of the total moment = 0.000 Bohr magnetons per cell
Symmetry = C2/c, No. 15


Result of the stability comparison: 2 is the least stable of them.


1:
The following is a PBE calculation of a relaxed Pr6AgPt2 crystal, from Alexandria.

Unit cell a=8.859 b=8.859 c=8.859 alpha=113.78 beta=109.75 gamma=105.00
Sites, in units of the cell vectors:
Pr (0.038, 0.233, 0.804)
Pr (0.178, 0.287, 0.465)
Pr (0.178, 0.713, 0.891)
Pr (0.330, 0.029, 0.699)
Pr (0.330, 0.631, 0.301)
Pr (0.429, 0.233, 0.196)
Pr (0.571, 0.767, 0.804)
Pr (0.670, 0.369, 0.699)
Pr (0.670, 0.971, 0.301)
Pr (0.822, 0.287, 0.109)
Pr (0.822, 0.713, 0.535)
Pr (0.962, 0.767, 0.196)
Ag (0.000, 0.000, 0.000)
Ag (0.500, 0.500, 0.000)
Pt (0.132, 0.632, 0.500)
Pt (0.344, 0.000, 0.344)
Pt (0.656, 0.000, 0.656)
Pt (0.868, 0.368, 0.500)

Output
Volume = 532 Å³/cell
Size of the total moment = 0.000 Bohr magnetons per cell
Symmetry = Immm, No. 71


2:
The following is a PBE calculation of a relaxed Pr6AgPt2 crystal, from Alexandria.

Unit cell a=5.867 b=5.867 c=9.398 alpha=98.62 beta=98.62 gamma=52.62
Sites, in units of the cell vectors:
Pr (0.039, 0.039, 0.340)
Pr (0.285, 0.285, 0.671)
Pr (0.345, 0.345, 0.093)
Pr (0.655, 0.655, 0.907)
Pr (0.715, 0.715, 0.329)
Pr (0.961, 0.961, 0.660)
Ag (0.000, 0.000, 0.000)
Pt (0.381, 0.381, 0.399)
Pt (0.619, 0.619, 0.601)

Output
Volume = 253 Å³/cell
Size of the total moment = 0.000 Bohr magnetons per cell
Symmetry = C2/m, No. 12


Result of the stability comparison: 2 is the least stable of them.


1:
The following is a PBE calculation of a relaxed Pr2PuAg crystal, from Alexandria.

Unit cell a=3.666 b=3.666 c=8.755 alpha=90.00 beta=90.00 gamma=90.00
Sites, in units of the cell vectors:
Pr (0.000, 0.000, 0.224)
Pr (0.000, 0.000, 0.776)
Pu (0.500, 0.500, 0.500)
Ag (0.500, 0.500, 0.000)

Output
Volume = 118 Å³/cell
Size of the total moment = 6.375 Bohr magnetons per cell
Symmetry = P4/mmm, No. 123


2:
The following is a PBE calculation of a relaxed Pr2PuAg crystal, from Alexandria.

Unit cell a=12.004 b=12.004 c=12.004 alpha=16.50 beta=16.50 gamma=16.50
Sites, in units of the cell vectors:
Pr (0.095, 0.095, 0.095)
Pr (0.905, 0.905, 0.905)
Pu (0.000, 0.000, 0.000)
Ag (0.500, 0.500, 0.500)

Output
Volume = 122 Å³/cell
Size of the total moment = 6.300 Bohr magnetons per cell
Symmetry = R-3m, No. 166


Result of the stability comparison: 2 is the least stable of them.


1:
The following is a PBE calculation of a relaxed PrPuAg2 crystal, from Alexandria.

Unit cell a=10.565 b=10.565 c=10.565 alpha=18.30 beta=18.30 gamma=18.30
Sites, in units of the cell vectors:
Pr (0.000, 0.000, 0.000)
Pu (0.500, 0.500, 0.500)
Ag (0.249, 0.249, 0.249)
Ag (0.751, 0.751, 0.751)

Output
Volume = 102 Å³/cell
Size of the total moment = 5.967 Bohr magnetons per cell
Symmetry = R-3m, No. 166


2:
The following is a PBE calculation of a relaxed PrPuAg2 crystal, from Alexandria.

Unit cell a=5.498 b=5.498 c=3.417 alpha=90.00 beta=90.00 gamma=90.00
Sites, in units of the cell vectors:
Pr (0.000, 0.000, 0.000)
Pu (0.500, 0.500, 0.000)
Ag (0.000, 0.500, 0.500)
Ag (0.500, 0.000, 0.500)

Output
Volume = 103 Å³/cell
Size of the total moment = 5.948 Bohr magnetons per cell
Symmetry = P4/mmm, No. 123


3:
The following is a PBE calculation of a relaxed PrPuAg2 crystal, from Alexandria.

Unit cell a=5.284 b=5.284 c=5.284 alpha=60.00 beta=60.00 gamma=60.00
Sites, in units of the cell vectors:
Pr (0.000, 0.000, 0.000)
Pu (0.500, 0.500, 0.500)
Ag (0.250, 0.250, 0.250)
Ag (0.750, 0.750, 0.750)

Output
Volume = 104 Å³/cell
Size of the total moment = 5.968 Bohr magnetons per cell
Symmetry = Fm-3m, No. 225


Result of the stability comparison: 1 is the least stable of them.


1:
The following is a PBE calculation of a relaxed PrPuAg crystal, from Alexandria.

Unit cell a=6.810 b=6.810 c=6.810 alpha=148.82 beta=148.82 gamma=44.68
Sites, in units of the cell vectors:
Pr (0.000, 0.000, 0.000)
Pu (0.699, 0.699, 0.000)
Ag (0.347, 0.347, 0.000)

Output
Volume = 84 Å³/cell
Size of the total moment = 6.422 Bohr magnetons per cell
Symmetry = I4mm, No. 107


2:
The following is a PBE calculation of a relaxed PrPuAg crystal, from Alexandria.

Unit cell a=12.986 b=12.986 c=3.363 alpha=90.00 beta=90.00 gamma=165.18
Sites, in units of the cell vectors:
Pr (0.129, 0.871, 0.750)
Pr (0.871, 0.129, 0.250)
Pu (0.236, 0.764, 0.250)
Pu (0.764, 0.236, 0.750)
Ag (0.456, 0.544, 0.750)
Ag (0.544, 0.456, 0.250)

Output
Volume = 145 Å³/cell
Size of the total moment = 0.000 Bohr magnetons per cell
Symmetry = Cmcm, No. 63


Result of the stability comparison: 2 is the least stable of them.